No. 1
# PmDy2P3 | Alexandria | PBE | relaxed
# * M_tot: 0.00 μB per cell
# * E_form: -1.5912 eV/atom
# * mass density: 6.63 g/cm³
# * density of states at the Fermi level: 1.6 states/eV/cell
data_PmDy2P3
_chemical_formula_sum 'Pm2 Dy4 P6'
_space_group_name_H-M_alt 'I m m m'
_space_group_IT_number 71
_space_group_name_Hall '-I 2 2'
_cell_length_a 4.052
_cell_length_b 5.728
_cell_length_c 12.142
_cell_angle_alpha 90.00
_cell_angle_beta 90.00
_cell_angle_gamma 90.00
loop_
_atom_site_label
_atom_site_fract_x
_atom_site_fract_y
_atom_site_fract_z
Pm1 0.000 0.000 0.000
Dy1 0.000 0.000 0.334
P1 0.000 0.500 0.000
P2 0.000 0.500 0.329



No. 2
# CuTe2CN | Alexandria | PBE | relaxed
# * M_tot: 1.09 μB per cell
# * mass density: 6.02 g/cm³
# * energy: -3.66 eV/atom
# * density of states at the Fermi level: 4.8 states/eV/cell
data_CuTe2CN
_chemical_formula_sum 'Cu1 Te2 C1 N1'
_space_group_name_H-M_alt 'P 4/m m m'
_space_group_IT_number 123
_space_group_name_Hall '-P 4 2'
_cell_length_a 5.218
_cell_length_b 5.218
_cell_length_c 3.491
_cell_angle_alpha 90.00
_cell_angle_beta 90.00
_cell_angle_gamma 90.00
loop_
_atom_site_label
_atom_site_fract_x
_atom_site_fract_y
_atom_site_fract_z
Cu1 0.000 0.000 0.000
Te1 0.000 0.500 0.000
C1 0.500 0.500 0.500
N1 0.000 0.000 0.500



No. 3
# KPtBr | Alexandria | PBE | relaxed
# * M_tot: 1.67 μB per cell
# * mass density: 5.50 g/cm³
# * energy: -2.47 eV/atom
# * density of states at the Fermi level: 13.6 states/eV/cell
data_KPtBr
_chemical_formula_sum 'K4 Pt4 Br4'
_space_group_name_H-M_alt 'F -4 3 m'
_space_group_IT_number 216
_space_group_name_Hall 'F -4 2 3'
_cell_length_a 7.238
_cell_length_b 7.238
_cell_length_c 7.238
_cell_angle_alpha 90.00
_cell_angle_beta 90.00
_cell_angle_gamma 90.00
loop_
_atom_site_label
_atom_site_fract_x
_atom_site_fract_y
_atom_site_fract_z
K1 0.000 0.000 0.000
Pt1 0.250 0.250 0.250
Br1 0.250 0.250 0.750



No. 4
# YRhW2 | Alexandria | PBE | relaxed
# * M_tot: 0.00 μB per cell
# * E_form: 0.4685 eV/atom
# * mass density: 12.78 g/cm³
# * density of states at the Fermi level: 2.4 states/eV/cell
data_YRhW2
_chemical_formula_sum 'Y1 Rh1 W2'
_space_group_name_H-M_alt 'P m m m'
_space_group_IT_number 47
_cell_length_a 2.824
_cell_length_b 4.803
_cell_length_c 5.357
_cell_angle_alpha 90.00
_cell_angle_beta 90.00
_cell_angle_gamma 90.00
loop_
_space_group_symop_operation_xyz
'x,y,z'
'-x,-y,-z'
'-x,-y,z'
'x,y,-z'
'x,-y,-z'
'-x,y,z'
'-x,y,-z'
'x,-y,z'
loop_
_atom_site_label
_atom_site_fract_x
_atom_site_fract_y
_atom_site_fract_z
Y1 0.000 0.000 0.000
Rh1 0.000 0.000 0.500
W1 0.500 0.500 0.253



No. 5
# Dy2YPb3 | Alexandria | PBE | relaxed
# * M_tot: 0.00 μB per cell
# * E_form: -0.5093 eV/atom
# * mass density: 10.08 g/cm³
# * density of states at the Fermi level: 10.4 states/eV/cell
data_Dy2YPb3
_chemical_formula_sum 'Dy8 Y4 Pb12'
_space_group_name_H-M_alt 'C 1 2/c 1'
_space_group_IT_number 15
_cell_length_a 16.938
_cell_length_b 6.405
_cell_length_c 6.407
_cell_angle_alpha 90.00
_cell_angle_beta 100.90
_cell_angle_gamma 90.00
loop_
_space_group_symop_operation_xyz
'x,y,z'
'-x,-y,-z'
'-x,y,-z+1/2'
'x,-y,z+1/2'
'x+1/2,y+1/2,z'
'-x+1/2,-y+1/2,-z'
'-x+1/2,y+1/2,-z+1/2'
'x+1/2,-y+1/2,z+1/2'
loop_
_atom_site_label
_atom_site_fract_x
_atom_site_fract_y
_atom_site_fract_z
Dy1 0.167 0.125 0.083
Y1 0.000 0.375 0.250
Pb1 0.000 0.125 0.750
Pb2 0.167 0.375 0.584



No. 6
# Ca3TaCd | Alexandria | PBE | relaxed
# * M_tot: 3.35 μB per cell
# * E_form: 1.0214 eV/atom
# * mass density: 3.66 g/cm³
# * density of states at the Fermi level: 5.7 states/eV/cell
data_Ca3TaCd
_chemical_formula_sum 'Ca3 Ta1 Cd1'
_space_group_name_H-M_alt 'P m -3 m'
_space_group_IT_number 221
_space_group_name_Hall '-P 4 2 3'
_cell_length_a 5.727
_cell_length_b 5.727
_cell_length_c 5.727
_cell_angle_alpha 90.00
_cell_angle_beta 90.00
_cell_angle_gamma 90.00
loop_
_atom_site_label
_atom_site_fract_x
_atom_site_fract_y
_atom_site_fract_z
Ca1 0.000 0.000 0.500
Ta1 0.500 0.500 0.500
Cd1 0.000 0.000 0.000



No. 7
# Ta6Mo | Alexandria | PBE | relaxed
# * M_tot: 0.00 μB per cell
# * E_form: -0.0695 eV/atom
# * mass density: 15.70 g/cm³
# * density of states at the Fermi level: 15.5 states/eV/cell
data_Ta6Mo
_chemical_formula_sum 'Ta12 Mo2'
_space_group_name_H-M_alt 'C 1 2/m 1'
_space_group_IT_number 12
_cell_length_a 10.443
_cell_length_b 3.272
_cell_length_c 7.395
_cell_angle_alpha 90.00
_cell_angle_beta 98.31
_cell_angle_gamma 90.00
loop_
_space_group_symop_operation_xyz
'x,y,z'
'-x,-y,-z'
'-x,y,-z'
'x,-y,z'
'x+1/2,y+1/2,z'
'-x+1/2,-y+1/2,-z'
'-x+1/2,y+1/2,-z'
'x+1/2,-y+1/2,z'
loop_
_atom_site_label
_atom_site_fract_x
_atom_site_fract_y
_atom_site_fract_z
Ta1 0.072 0.000 0.223
Ta2 0.143 0.500 0.934
Ta3 0.205 0.000 0.640
Mo1 0.000 0.500 0.500



No. 8
# RhPb2Se | Alexandria | PBE | relaxed
# * M_tot: 0.00 μB per cell
# * mass density: 10.31 g/cm³
# * energy: -4.63 eV/atom
# * density of states at the Fermi level: 3.7 states/eV/cell
data_RhPb2Se
_chemical_formula_sum 'Rh2 Pb4 Se2'
_space_group_name_H-M_alt 'I m m 2'
_space_group_IT_number 44
_cell_length_a 3.282
_cell_length_b 5.503
_cell_length_c 10.640
_cell_angle_alpha 90.00
_cell_angle_beta 90.00
_cell_angle_gamma 90.00
loop_
_space_group_symop_operation_xyz
'x,y,z'
'-x,-y,z'
'-x,y,z'
'x,-y,z'
'x+1/2,y+1/2,z+1/2'
'-x+1/2,-y+1/2,z+1/2'
'-x+1/2,y+1/2,z+1/2'
'x+1/2,-y+1/2,z+1/2'
loop_
_atom_site_label
_atom_site_fract_x
_atom_site_fract_y
_atom_site_fract_z
Rh1 0.000 0.000 0.000
Pb1 0.000 0.000 0.483
Pb2 0.000 0.500 0.269
Se1 0.000 0.500 0.671